# Pm5HoPb8

A relaxed Pm5HoPb8 crystal (PBE, Alexandria).

```
Pm5HoPb8
1.0
-4.858 4.858 4.606
4.858 -4.858 4.606
4.858 4.858 -4.606
Pm Ho Pb
5 1 8
Cartesian
0.000 0.000 0.000
2.170 -1.136 3.440
3.722 2.687 1.166
2.687 5.994 -1.166
1.136 2.170 5.771
0.000 4.858 2.303
3.977 3.048 -2.054
6.387 0.697 0.464
0.697 3.329 -0.464
0.881 1.810 2.551
4.161 1.529 4.141
1.810 -0.881 6.660
3.048 5.738 2.054
-1.529 4.161 5.070
```

Calculated values
Final energy   -4.5185 eV/atom
Space-group type   I-4
DFT formation energy   -508 kJ/mol of formula units

# Li5La2Sn4

A relaxed Li5La2Sn4 crystal (PBE, Alexandria).

```
Li5La2Sn4
1.0
0.000 5.174 8.172
3.205 0.000 8.172
3.205 5.174 0.000
Li La Sn
5 2 4
Cartesian
0.000 0.000 0.000
1.602 2.587 0.000
1.602 2.587 4.086
1.602 2.587 8.172
4.807 7.761 12.257
3.205 5.174 5.510
3.205 5.174 10.834
3.205 3.722 2.296
3.205 6.627 14.047
3.205 6.627 2.296
3.205 3.722 14.047
```

Calculated values
Final energy   -3.6268 eV/atom
Space-group type   Fmmm
DFT formation energy   -430 kJ/mol of formula units

# HfReAs3

A relaxed HfReAs3 crystal (PBE, Alexandria).

```
HfReAs3
1.0
5.089 0.000 0.000
0.000 5.089 0.000
0.000 0.000 5.089
Hf Re As
1 1 3
Cartesian
0.000 0.000 0.000
2.544 2.544 2.544
0.000 0.000 2.544
0.000 2.544 0.000
2.544 0.000 0.000
```

Calculated values
Final energy   -6.0213 eV/atom
Space-group type   Pm-3m
DFT formation energy   602 kJ/mol of formula units

# Tb2AlAg3

A relaxed Tb2AlAg3 crystal (PBE, Alexandria).

```
Tb2AlAg3
1.0
-1.877 2.161 8.657
1.877 -2.161 8.657
1.877 2.161 -8.657
Tb Al Ag
2 1 3
Cartesian
0.000 0.000 0.000
0.000 2.161 4.220
0.000 0.000 10.113
1.877 0.000 2.783
1.877 0.000 5.530
0.000 0.000 7.487
```

Calculated values
Final energy   -3.8233 eV/atom
Space-group type   Imm2
DFT formation energy   -133 kJ/mol of formula units

# VPdS2

A relaxed VPdS2 crystal (PBE, Alexandria).

```
VPdS2
1.0
-2.806 5.461 2.838
2.806 -5.461 2.838
2.806 5.461 -2.838
V Pd S
2 2 4
Cartesian
0.000 0.000 1.419
0.000 0.000 4.257
2.806 0.000 1.419
0.000 5.461 1.419
1.198 1.277 0.000
1.198 -1.277 2.838
1.607 6.738 0.000
1.607 4.185 2.838
```

Calculated values
Final energy   -6.3138 eV/atom
Space-group type   Ibam
Formation energy from raw total energies   -2.69 eV per formula unit

# Y2FeRh2

A relaxed Y2FeRh2 crystal (PBE, Alexandria).

```
Y2FeRh2
1.0
6.837 0.000 0.000
0.000 6.837 0.000
0.000 0.000 4.238
Y Fe Rh
4 2 4
Cartesian
1.187 2.232 0.000
2.232 5.650 0.000
4.606 1.187 0.000
5.650 4.606 0.000
0.000 0.000 2.119
3.419 3.419 2.119
0.962 4.381 2.119
2.456 0.962 2.119
4.381 5.875 2.119
5.875 2.456 2.119
```

Calculated values
Final energy   -7.6782 eV/atom
Space-group type   P4/mbm
DFT formation energy   -222 kJ/mol of formula units

Number 1: volume 434.7 Å³ per cell, size of the total moment 0.00 μB per cell. Number 2: volume 271.0 Å³ per cell, size of the total moment 0.84 μB per cell. Number 3: volume 131.8 Å³ per cell, size of the total moment 3.79 μB per cell. Number 4: volume 140.5 Å³ per cell, size of the total moment 0.00 μB per cell. Number 5: volume 173.9 Å³ per cell, size of the total moment 1.99 μB per cell. Number 6: volume 198.1 Å³ per cell, size of the total moment 5.54 μB per cell.